5
Lattice="3.6329 0.0000 0.0000 0.0000 3.6329 0.0000 0.0000 0.0000 6.9350" Properties=species:S:1:pos:R:3 comment="Ni2BTeO, relaxed, DFT PBE+U" space_group=P4/mmm m_tot_mub_per_cell=2.18 dos_at_fermi_per_ev_fu=2.93 dft_energy_ev_per_cell=-15.7 pbc="T T T"
Ni 0.0000 1.8165 0.0000
Ni 1.8165 0.0000 0.0000
B 0.0000 0.0000 3.4675
Te 1.8165 1.8165 3.4675
O 1.8165 1.8165 0.0000